1.
The following is a DFT calculation (PBE) of a relaxed structure of Rb2CoTeSe.

Unit cell a=6.6342 b=6.6342 c=5.5264 alpha=90.00 beta=90.00 gamma=90.00
Sites, in units of the cell vectors:
1 Rb 0.0000 0.5000 0.0000
2 Rb 0.5000 0.0000 0.0000
3 Co 0.0000 0.0000 0.5000
4 Te 0.5000 0.5000 0.5000
5 Se 0.5000 0.5000 0.0000

Values from the calculation:
- Uncorrected formation energy: 0.328 eV per atom
- DOS at the Fermi energy: 4.435 states/eV per atom
- Space group: P4/mmm
- Total DFT energy (no corrections): -2.81 eV/atom

---

2.
The following is a DFT calculation (PBE) of a relaxed structure of PmMgTe2.

Unit cell a=5.3184 b=5.3184 c=3.8843 alpha=90.00 beta=90.00 gamma=90.00
Sites, in units of the cell vectors:
1 Pm 0.0000 0.0000 0.0000
2 Mg 0.5000 0.5000 0.0000
3 Te 0.0000 0.5000 0.5000
4 Te 0.5000 0.0000 0.5000

Values from the calculation:
- Uncorrected formation energy: -0.921 eV per atom
- DOS at the Fermi energy: 0.350 states/eV per atom
- Space group: P4/mmm
- Total DFT energy (no corrections): -4.08 eV/atom

---

3.
The following is a DFT calculation (PBE) of a relaxed structure of AlCd2Pt2.

Unit cell a=6.5246 b=6.5246 c=4.3359 alpha=90.00 beta=90.00 gamma=90.00
Sites, in units of the cell vectors:
1 Al 0.0000 0.0000 0.0000
2 Al 0.5000 0.5000 0.0000
3 Cd 0.1602 0.3398 0.5000
4 Cd 0.3398 0.8398 0.5000
5 Cd 0.6602 0.1602 0.5000
6 Cd 0.8398 0.6602 0.5000
7 Pt 0.1490 0.6490 0.0000
8 Pt 0.3510 0.1490 0.0000
9 Pt 0.6490 0.8510 0.0000
10 Pt 0.8510 0.3510 0.0000

Values from the calculation:
- Formation energy from the elements: -467 meV per atom
- DOS at the Fermi energy: 0.276 states/eV per atom
- Space group: P4/mbm
- Total DFT energy (no corrections): -4.00 eV/atom